Record 1
# BeInAs2

A geometry-optimized BeInAs2 structure (PBE, Alexandria).

Computed properties:
ΔH_f (0 K) = 0.409 eV per atom
energy = -28.25 eV/cell
magnetization = 0.000 μB/atom

Unit cell a=3.7939 b=5.1529 c=7.7209 alpha=90.00 beta=90.00 gamma=90.00
Space group Cmm2 (No. 35)
Asymmetric unit:
Be (0.0000, 0.0000, 0.0000) x2
In (0.0000, 0.5000, 0.7425) x2
As (0.0000, 0.0000, 0.4514) x2
As (0.0000, 0.5000, 0.1555) x2

***

Record 2
# Li4PmSi4

A geometry-optimized Li4PmSi4 structure (PBE, Alexandria).

Computed properties:
formation energy without anion corrections = -0.2270 eV/atom
energy = -72.28 eV/cell
magnetization = 0.000 μB/atom

Unit cell a=6.0012 b=6.0012 c=8.5473 alpha=90.00 beta=90.00 gamma=90.00
Space group P4_2/nmc (No. 137, origin choice 2)
Asymmetric unit:
Li (0.0028, 0.2500, 0.1526) x8
Pm (0.2500, 0.7500, 0.2500) x2
Si (0.0574, 0.2500, 0.4513) x8

***

Record 3
# Cs2AgAsF6

A geometry-optimized Cs2AgAsF6 structure (PBE, Alexandria).

Computed properties:
formation energy without anion corrections = -2.1935 eV/atom
energy = -169.48 eV/cell
magnetization = 0.000 μB/atom

Unit cell a=9.1767 b=9.1767 c=9.1767 alpha=90.00 beta=90.00 gamma=90.00
Space group Fm-3m (No. 225)
Asymmetric unit:
Cs (0.2500, 0.2500, 0.2500) x8
Ag (0.0000, 0.0000, 0.0000) x4
As (0.0000, 0.0000, 0.5000) x4
F (0.0000, 0.0000, 0.2734) x24

***

Record 4
# LiReNi2Ru

A geometry-optimized LiReNi2Ru structure (PBE, Alexandria).

Computed properties:
ΔH_f (0 K) = 1.143 eV per atom
energy = -29.49 eV/cell
magnetization = 0.122 μB/atom

Unit cell a=4.5739 b=4.5739 c=4.6311 alpha=90.00 beta=90.00 gamma=90.00
Space group P4/mmm (No. 123)
Asymmetric unit:
Li (0.0000, 0.0000, 0.0000) x1
Re (0.5000, 0.5000, 0.5000) x1
Ni (0.0000, 0.5000, 0.5000) x2
Ru (0.5000, 0.5000, 0.0000) x1